Crystalline Ba2RhW at its relaxed geometry. Source: Alexandria, functional PBE.

For the energy of formation from the pure elements, the calculation gives 819 meV/atom. The distance to the lowest polymorph of the same formula is 315 meV/atom. For the total DFT energy (no corrections), the calculation gives -83.49 eV/cell. The value obtained for the magnetic moment is 2.1 μB per formula unit.

The space group is I-42d (No. 122) and the conventional cell measures 11.8475, 11.8475 and 4.7986 Å, with angles of 90.00, 90.00 and 90.00 degrees. The asymmetric unit holds Ba at (0.0796, 0.2500, 0.1250), Rh at (0.0000, 0.0000, 0.0000) and W at (0.0000, 0.0000, 0.5000).